(1)
Here is a geometry-optimized LaIn2BS structure from Alexandria. Energies are from PBE.

Computed properties:
space group	P4/mmm, No. 123
raw formation energy	-233	meV/atom
N(E_F)	2.984	states/eV/cell

```
LaIn2BS
1.0
4.4218 0.0000 0.0000
0.0000 4.4218 0.0000
0.0000 0.0000 5.9837
La In B S
1 2 1 1
Cartesian
0.0000 0.0000 0.0000 La
0.0000 2.2109 2.9919 In
2.2109 0.0000 2.9919 In
0.0000 0.0000 2.9919 B
2.2109 2.2109 0.0000 S
```

=====

(2)
Here is a geometry-optimized La2InBSb structure from Alexandria. Energies are from PBE.

Computed properties:
space group	P4/mmm, No. 123
raw formation energy	1118	meV/atom
N(E_F)	5.284	states/eV/cell

```
La2InBSb
1.0
5.9857 0.0000 0.0000
0.0000 5.9857 0.0000
0.0000 0.0000 5.3472
La In B Sb
2 1 1 1
Cartesian
0.0000 2.9928 0.0000 La
2.9928 0.0000 0.0000 La
0.0000 0.0000 0.0000 In
2.9928 2.9928 2.6736 B
0.0000 0.0000 2.6736 Sb
```

=====

(3)
Here is a geometry-optimized LaInTcB2 structure from Alexandria. Energies are from PBE.

Computed properties:
space group	P4/mmm, No. 123
N(E_F)	3.950	states/eV/cell
DFT formation energy	2.372	eV/atom

```
LaInTcB2
1.0
4.6292 0.0000 0.0000
0.0000 4.6292 0.0000
0.0000 0.0000 5.8938
La In Tc B
1 1 1 2
Cartesian
0.0000 0.0000 0.0000 La
0.0000 0.0000 2.9469 In
2.3146 2.3146 2.9469 Tc
0.0000 2.3146 0.0000 B
2.3146 0.0000 0.0000 B
```

=====

(4)
Here is a geometry-optimized LiInB3 structure from Alexandria. Energies are from PBE.

Computed properties:
space group	Pm-3m, No. 221
polymorph energy (0 for the lowest one)	110	kJ/mol of formula units
N(E_F)	2.247	states/eV/cell
DFT formation energy	2.063	eV/atom

```
LiInB3
1.0
4.5586 0.0000 0.0000
0.0000 4.5586 0.0000
0.0000 0.0000 4.5586
Li In B
1 1 3
Cartesian
0.0000 0.0000 0.0000 Li
2.2793 2.2793 2.2793 In
0.0000 2.2793 2.2793 B
2.2793 0.0000 2.2793 B
2.2793 2.2793 0.0000 B
```

=====

no.,total energy (eV for the cell shown)
1,-22.374
2,-17.801
3,-19.527
4,-14.367